VASP calculation (PBE-GGA) on a geometry-optimized Pr4Nd2DyEr2 structure.

Results
The energy is -4.686 eV/atom. As for the mass density: 7.28 g cm⁻³. The calculation puts the calculated formation energy at 23 meV/atom.

```
data_Pr4Nd2DyEr2
_space_group_name_H-M_alt 'C 1 2/m 1'
_space_group_IT_number 12
_cell_length_a 15.502
_cell_length_b 5.167
_cell_length_c 8.109
_cell_angle_alpha 90.00
_cell_angle_beta 108.61
_cell_angle_gamma 90.00
loop_
_space_group_symop_operation_xyz
'x,y,z'
'-x,-y,-z'
'-x,y,-z'
'x,-y,z'
'x+1/2,y+1/2,z'
'-x+1/2,-y+1/2,-z'
'-x+1/2,y+1/2,-z'
'x+1/2,-y+1/2,z'
loop_
_atom_site_label
_atom_site_type_symbol
_atom_site_fract_x
_atom_site_fract_y
_atom_site_fract_z
_atom_site_occupancy
Pr1 Pr 0.055 0.000 0.329 1
Pr2 Pr 0.222 0.500 0.329 1
Nd1 Nd 0.112 0.500 0.671 1
Dy1 Dy 0.000 0.500 0.000 1
Er1 Er 0.167 0.000 0.000 1
```